1.
Here is a geometry-optimized KCrInCl6 structure from Alexandria via LeMat-Bulk. Energies are from PBE-GGA.

Results
* uncorrected formation energy: -1.24 eV/atom
* V: 29.63 A^3/atom
* M_tot: 3.97 μB per cell

a = 6.8088 Å, b = 6.8088 Å, c = 13.2852 Å
α = 90.00°, β = 90.00°, γ = 120.00°
Space group P-31c (No. 163)
Symmetry-distinct sites (fractional):
1 K 0.0000 0.0000 0.0000 x2
2 Cr 0.3333 0.6667 0.2500 x2
3 In 0.3333 0.6667 0.7500 x2
4 Cl 0.0454 0.3910 0.1473 x12

2.
Here is a geometry-optimized K4Cr3InCl12 structure from Alexandria via LeMat-Bulk. Energies are from PBE-GGA.

Results
* uncorrected formation energy: -1.36 eV/atom
* V: 26.95 A^3/atom
* M_tot: 21.99 μB per cell

a = 10.253 Å, b = 10.253 Å, c = 10.253 Å
α = 90.00°, β = 90.00°, γ = 90.00°
Space group Im-3m (No. 229)
Symmetry-distinct sites (fractional):
1 K 0.250 0.250 0.250 x8
2 Cr 0.000 0.000 0.500 x6
3 In 0.000 0.000 0.000 x2
4 Cl 0.000 0.000 0.273 x12
5 Cl 0.000 0.250 0.500 x12

3.
Here is a geometry-optimized Li3CrIn3Cl8 structure from Alexandria via LeMat-Bulk. Energies are from PBE-GGA.

Results
* uncorrected formation energy: -1.19 eV/atom
* V: 24.59 A^3/atom
* M_tot: 7.88 μB per cell

a = 13.062 Å, b = 7.526 Å, c = 8.681 Å
α = 90.00°, β = 120.17°, γ = 90.00°
Space group C2/m (No. 12)
Symmetry-distinct sites (fractional):
1 Li 0.000 0.000 0.000 x2
2 Li 0.250 0.250 0.000 x4
3 Cr 0.000 0.500 0.000 x2
4 In 0.000 0.500 0.500 x2
5 In 0.250 0.250 0.500 x4
6 Cl 0.018 0.260 0.814 x8
7 Cl 0.222 0.500 0.185 x4
8 Cl 0.228 0.000 0.184 x4

4.
Here is a geometry-optimized MgCrIn2Cl6 structure from Alexandria via LeMat-Bulk. Energies are from PBE-GGA.

Results
* uncorrected formation energy: -1.11 eV/atom
* V: 25.08 A^3/atom
* M_tot: 8.00 μB per cell

a = 7.079 Å, b = 7.079 Å, c = 10.008 Å
α = 90.00°, β = 90.00°, γ = 90.00°
Space group Immm (No. 71)
Symmetry-distinct sites (fractional):
1 Mg 0.000 0.000 0.000 x2
2 Cr 0.000 0.000 0.500 x2
3 In 0.000 0.500 0.249 x4
4 Cl 0.000 0.000 0.251 x4
5 Cl 0.249 0.249 0.500 x8

5.
Here is a geometry-optimized MnCrInCl6 structure from Alexandria via LeMat-Bulk. Energies are from PBE-GGA.

Results
* uncorrected formation energy: -1.05 eV/atom
* V: 27.73 A^3/atom
* M_tot: 8.00 μB per cell

a = 6.4193 Å, b = 6.4193 Å, c = 6.9921 Å
α = 90.00°, β = 90.00°, γ = 120.00°
Space group P312 (No. 149)
Symmetry-distinct sites (fractional):
1 Mn 0.0000 0.0000 0.0000 x1
2 Cr 0.3333 0.6667 0.0000 x1
3 In 0.6667 0.3333 0.5000 x1
4 Cl 0.0461 0.3526 0.1965 x6

6.
Here is a geometry-optimized NaCrInCl6 structure from Alexandria via LeMat-Bulk. Energies are from PBE-GGA.

Results
* uncorrected formation energy: -1.18 eV/atom
* V: 25.91 A^3/atom
* M_tot: 3.96 μB per cell

a = 6.7174 Å, b = 6.7174 Å, c = 11.9367 Å
α = 90.00°, β = 90.00°, γ = 120.00°
Space group P-31c (No. 163)
Symmetry-distinct sites (fractional):
1 Na 0.0000 0.0000 0.0000 x2
2 Cr 0.3333 0.6667 0.2500 x2
3 In 0.3333 0.6667 0.7500 x2
4 Cl 0.0446 0.3817 0.1364 x12

7.
Here is a geometry-optimized Na2CrInCl6 structure from Alexandria via LeMat-Bulk. Energies are from PBE-GGA.

Results
* uncorrected formation energy: -1.31 eV/atom
* V: 26.59 A^3/atom
* M_tot: 2.98 μB per cell

a = 6.958 Å, b = 6.963 Å, c = 7.500 Å
α = 90.03°, β = 117.61°, γ = 119.96°
Space group P1 (No. 1)
Symmetry-distinct sites (fractional):
1 Na 0.000 0.000 0.000 x1
2 Na 0.043 0.522 0.564 x1
3 Cr 0.393 0.197 0.590 x1
4 In 0.430 0.715 0.146 x1
5 Cl 0.223 0.383 0.361 x1
6 Cl 0.251 0.271 0.799 x1
7 Cl 0.522 0.138 0.361 x1
8 Cl 0.527 0.980 0.799 x1
9 Cl 0.818 0.547 0.799 x1
10 Cl 0.977 0.840 0.361 x1

8.
Here is a geometry-optimized NaCr2In3Cl9 structure from Alexandria via LeMat-Bulk. Energies are from PBE-GGA.

Results
* uncorrected formation energy: -1.02 eV/atom
* V: 25.55 A^3/atom
* M_tot: 7.00 μB per cell

a = 7.1084 Å, b = 7.1084 Å, c = 8.7581 Å
α = 90.00°, β = 90.00°, γ = 120.00°
Space group P-3m1 (No. 164)
Symmetry-distinct sites (fractional):
1 Na 0.0000 0.0000 0.0000 x1
2 Cr 0.3333 0.6667 0.6604 x2
3 In 0.0000 0.0000 0.5000 x1
4 In 0.3333 0.6667 0.1438 x2
5 Cl 0.0000 0.5000 0.5000 x3
6 Cl 0.1758 0.3516 0.8155 x6

Number 1: E -71.3 eV per cell. Number 2: E -170.8 eV per cell. Number 3: E -112.5 eV per cell. Number 4: E -77.8 eV per cell. Number 5: E -42.0 eV per cell. Number 6: E -70.7 eV per cell. Number 7: E -39.2 eV per cell. Number 8: E -60.8 eV per cell.